{"formula": "Pr3YTm12", "functional": "GGA-PBE", "state": "optimized geometry", "lattice_angstrom": [[-2.1569, -3.0533, -3.3234], [4.2692, -0.1859, -2.5999], [5.8548, -15.8325, 10.7459]], "species": ["Tm", "Tm", "Tm", "Pr", "Tm", "Tm", "Tm", "Pr", "Tm", "Pr", "Tm", "Tm", "Tm", "Y", "Tm", "Tm"], "fractional_positions": [[0.5000, 0.0000, 0.8765], [0.5000, 0.5000, 0.7513], [0.0000, 0.5000, 0.1235], [0.0000, 0.0000, 0.7505], [0.0000, 0.5000, 0.3744], [0.5000, 0.5000, 0.2487], [0.5000, 0.0000, 0.1235], [0.0000, 0.0000, 0.5000], [0.0000, 0.5000, 0.8765], [0.0000, 0.0000, 0.2495], [0.0000, 0.5000, 0.6256], [0.5000, 0.5000, 0.0000], [0.5000, 0.0000, 0.3744], [0.0000, 0.0000, 0.0000], [0.5000, 0.0000, 0.6256], [0.5000, 0.5000, 0.5000]], "m_tot_mub_per_cell": 0.0, "ef_ev_per_atom": 0.030, "spacegroup": "No. 123"}



{"formula": "HgGeBiO4", "functional": "GGA-PBE", "state": "optimized geometry", "lattice_angstrom": [[-5.5359, 3.3490, -2.0156], [-5.9363, -0.6571, 3.2019], [0.1735, 5.6813, 4.3755]], "species": ["O", "O", "O", "O", "O", "Ge", "Bi", "Ge", "O", "O", "O", "Hg", "Hg", "Bi"], "fractional_positions": [[0.8753, 0.4727, 0.8802], [0.7131, 0.7131, 0.5016], [0.5156, 0.5156, 0.2716], [0.4727, 0.8753, 0.8802], [0.4844, 0.4844, 0.7284], [0.6287, 0.6287, 0.7423], [0.3013, 0.3013, 0.8634], [0.3713, 0.3713, 0.2577], [0.5273, 0.1247, 0.1198], [0.2869, 0.2869, 0.4984], [0.1247, 0.5273, 0.1198], [0.1085, 0.1085, 0.4998], [0.8915, 0.8915, 0.5002], [0.6987, 0.6987, 0.1366]], "m_tot_mub_per_cell": 0.0, "formation_energy_uncorrected_ev_per_atom": -1.148, "spacegroup": "No. 12"}



{"formula": "BaSr7Ca4", "functional": "GGA-PBE", "state": "optimized geometry", "lattice_angstrom": [[-3.1210, 1.4582, -2.1231], [5.8898, -5.0662, -8.2814], [-8.1495, -10.2697, 4.9264]], "species": ["Ba", "Ca", "Sr", "Sr", "Sr", "Ca", "Sr", "Sr", "Ca", "Sr", "Sr", "Ca"], "fractional_positions": [[0.8933, 0.7866, 0.5903], [0.3076, 0.6152, 0.0943], [0.5591, 0.1183, 0.5620], [0.2248, 0.4496, 0.5927], [0.0408, 0.0816, 0.8292], [0.1019, 0.2037, 0.3226], [0.7584, 0.5167, 0.3366], [0.9313, 0.8625, 0.3231], [0.9722, 0.9443, 0.0756], [0.3680, 0.7360, 0.8473], [0.6362, 0.2724, 0.0818], [0.7066, 0.4131, 0.8446]], "m_tot_mub_per_cell": 0.0, "ef_ev_per_atom": 0.056, "spacegroup": "No. 8"}



{"formula": "Na5Cd4Ag", "functional": "GGA-PBE", "state": "optimized geometry", "lattice_angstrom": [[3.3185, 0.0000, 0.0000], [0.0000, 3.3185, 0.0000], [0.0000, 0.0000, 23.0554]], "species": ["Cd", "Cd", "Na", "Na", "Cd", "Na", "Cd", "Ag", "Na", "Na"], "fractional_positions": [[0.0000, 0.0000, 0.8079], [0.0000, 0.0000, 0.6028], [0.5000, 0.5000, 0.0897], [0.5000, 0.5000, 0.5000], [0.0000, 0.0000, 0.3972], [0.5000, 0.5000, 0.9103], [0.0000, 0.0000, 0.1921], [0.0000, 0.0000, 0.0000], [0.5000, 0.5000, 0.7056], [0.5000, 0.5000, 0.2944]], "m_tot_mub_per_cell": 0.0, "ef_ev_per_atom": -0.051, "spacegroup": "No. 123"}



{"formula": "Pa2InSi", "functional": "GGA-PBE", "state": "optimized geometry", "lattice_angstrom": [[-2.1695, -0.0755, 2.5893], [2.4710, -1.0736, 2.0391], [1.8771, 7.7359, 1.7984]], "species": ["Pa", "In", "Pa", "Si"], "fractional_positions": [[0.0000, 0.0000, 0.2102], [0.5000, 0.5000, 0.5000], [0.0000, 0.0000, 0.7898], [0.5000, 0.5000, 0.0000]], "m_tot_mub_per_cell": 0.0, "formation_energy_uncorrected_ev_per_atom": -0.174, "spacegroup": "No. 123"}



{"formula": "KBaTeN2", "functional": "GGA-PBE", "state": "optimized geometry", "lattice_angstrom": [[5.1295, 0.0000, 0.0000], [0.0000, 5.1295, 0.0000], [0.0000, 0.0000, 6.5595]], "species": ["K", "N", "Te", "N", "Ba"], "fractional_positions": [[0.0000, 0.0000, 0.0000], [0.0000, 0.5000, 0.0000], [0.0000, 0.0000, 0.5000], [0.5000, 0.0000, 0.0000], [0.5000, 0.5000, 0.5000]], "m_tot_mub_per_cell": 5.0, "formation_energy_uncorrected_ev_per_atom": 1.013, "spacegroup": "No. 123"}



{"formula": "ScSi2HBr", "functional": "GGA-PBE", "state": "optimized geometry", "lattice_angstrom": [[-4.3440, -1.7371, -1.7467], [1.9616, -4.6020, -0.3017], [-1.4993, -0.9452, 4.6687]], "species": ["H", "Si", "Si", "Sc", "Br"], "fractional_positions": [[0.5000, 0.5000, 0.5000], [0.0000, 0.0000, 0.5000], [0.5000, 0.0000, 0.0000], [0.0000, 0.5000, 0.0000], [0.0000, 0.0000, 0.0000]], "m_tot_mub_per_cell": 0.6, "dft_energy_ev_per_atom": -3.10, "spacegroup": "No. 123"}



{"formula": "Al2ZnSiAg", "functional": "GGA-PBE", "state": "optimized geometry", "lattice_angstrom": [[-3.1243, -2.7318, 2.6030], [2.8479, -3.8704, -0.6436], [2.4407, 1.1143, 4.0989]], "species": ["Ag", "Al", "Al", "Zn", "Si"], "fractional_positions": [[0.0000, 0.0000, 0.0000], [0.0000, 0.0000, 0.5000], [0.5000, 0.0000, 0.0000], [0.5000, 0.5000, 0.5000], [0.0000, 0.5000, 0.0000]], "m_tot_mub_per_cell": 0.0, "formation_energy_uncorrected_ev_per_atom": 0.747, "spacegroup": "No. 123"}



{"formula": "TaZn3Cr", "functional": "GGA-PBE", "state": "optimized geometry", "lattice_angstrom": [[4.4513, 0.0000, 0.0000], [0.0000, 4.4513, 0.0000], [0.0000, 0.0000, 4.4513]], "species": ["Cr", "Zn", "Zn", "Zn", "Ta"], "fractional_positions": [[0.0000, 0.0000, 0.0000], [0.0000, 0.5000, 0.0000], [0.0000, 0.0000, 0.5000], [0.5000, 0.0000, 0.0000], [0.5000, 0.5000, 0.5000]], "m_tot_mub_per_cell": 0.6, "ef_ev_per_atom": 1.243, "spacegroup": "No. 221"}



{"formula": "DyZn2F8", "functional": "GGA-PBE", "state": "optimized geometry", "lattice_angstrom": [[5.4622, 0.0000, 0.0000], [0.0000, 5.4622, 0.0000], [-2.7311, -2.7311, 5.2294]], "species": ["F", "F", "F", "F", "F", "Zn", "F", "Zn", "F", "F", "Dy"], "fractional_positions": [[0.3259, 0.4616, 0.2513], [0.6741, 0.2103, 0.7487], [0.0746, 0.5384, 0.7487], [0.2103, 0.0746, 0.7487], [0.5384, 0.6741, 0.7487], [0.2500, 0.7500, 0.5000], [0.7897, 0.3259, 0.2513], [0.7500, 0.2500, 0.5000], [0.9254, 0.7897, 0.2513], [0.4616, 0.9254, 0.2513], [0.5000, 0.5000, 0.0000]], "m_tot_mub_per_cell": 1.1, "formation_energy_uncorrected_ev_per_atom": -2.675, "spacegroup": "No. 97"}



{"formula": "AcNp2CuO8", "functional": "GGA-PBE", "state": "optimized geometry", "lattice_angstrom": [[5.1900, 0.1556, 0.0650], [0.2421, 5.1886, -0.0772], [0.1034, -0.0919, 6.9761]], "species": ["O", "Cu", "Ac", "O", "Np", "O", "O", "O", "O", "O", "O", "Np"], "fractional_positions": [[0.3317, 0.3310, 0.9997], [0.0000, 0.0000, 0.0000], [0.0000, 0.0000, 0.5000], [0.7665, 0.2348, 0.7636], [0.4890, 0.5111, 0.7601], [0.6683, 0.6690, 0.0003], [0.6685, 0.6696, 0.5002], [0.7960, 0.2047, 0.2131], [0.2040, 0.7953, 0.7869], [0.2335, 0.7652, 0.2364], [0.3315, 0.3304, 0.4998], [0.5110, 0.4889, 0.2399]], "m_tot_mub_per_cell": 2.0, "formation_energy_uncorrected_ev_per_atom": -2.564, "spacegroup": "No. 2"}



{"formula": "Li2CaZn2", "functional": "GGA-PBE", "state": "optimized geometry", "lattice_angstrom": [[-0.1260, 2.2773, 3.7248], [-3.8993, 0.2669, -0.2951], [0.8056, -11.8211, 4.6938]], "species": ["Li", "Zn", "Ca", "Li", "Zn", "Ca", "Li", "Zn", "Zn", "Li"], "fractional_positions": [[0.5442, 0.2942, 0.0884], [0.6186, 0.8686, 0.2372], [0.1717, 0.4217, 0.3434], [0.9498, 0.1998, 0.8997], [0.3814, 0.1314, 0.7628], [0.8283, 0.5783, 0.6566], [0.4558, 0.7058, 0.9116], [0.7233, 0.9733, 0.4466], [0.2767, 0.0267, 0.5534], [0.0502, 0.8002, 0.1003]], "m_tot_mub_per_cell": 0.0, "ef_ev_per_atom": -0.161, "spacegroup": "No. 74"}



{"formula": "Li5Al3", "functional": "GGA-PBE", "state": "optimized geometry", "lattice_angstrom": [[-2.6940, 3.0973, 1.9033], [0.6265, 1.1962, 4.3186], [4.0965, 6.9616, -0.1520]], "species": ["Li", "Li", "Li", "Al", "Al", "Li", "Al", "Li"], "fractional_positions": [[0.8805, 0.8805, 0.3586], [0.1195, 0.1195, 0.6414], [0.7461, 0.7461, 0.7617], [0.6234, 0.6234, 0.1299], [0.3766, 0.3766, 0.8701], [0.5000, 0.5000, 0.5000], [0.0000, 0.0000, 0.0000], [0.2539, 0.2539, 0.2383]], "m_tot_mub_per_cell": 0.0, "ef_ev_per_atom": -0.084, "spacegroup": "No. 166"}



{"formula": "InPb4S5", "functional": "GGA-PBE", "state": "optimized geometry", "lattice_angstrom": [[5.9236, 0.0000, 0.0000], [2.9618, 6.6538, 0.0000], [2.9618, 0.0000, 6.6538]], "species": ["In", "S", "S", "Pb", "S", "S", "Pb", "S", "Pb", "Pb"], "fractional_positions": [[0.0015, 0.0000, 0.0000], [0.2915, 0.8092, 0.6098], [0.5005, 0.0000, 0.0000], [0.8011, 0.7994, 0.6006], [0.9013, 0.3902, 0.8092], [0.1007, 0.6098, 0.1908], [0.6005, 0.6006, 0.2006], [0.7104, 0.1908, 0.3902], [0.2011, 0.2006, 0.3994], [0.4017, 0.3994, 0.7994]], "m_tot_mub_per_cell": 0.0, "formation_energy_uncorrected_ev_per_atom": -0.490, "spacegroup": "No. 79"}



{"formula": "Sm4Dy5Er2", "functional": "GGA-PBE", "state": "optimized geometry", "lattice_angstrom": [[3.4936, 0.0000, 0.0000], [0.0000, 9.1684, 0.0000], [-1.7468, -4.5842, 11.4962]], "species": ["Dy", "Sm", "Sm", "Dy", "Sm", "Er", "Dy", "Sm", "Dy", "Dy", "Er"], "fractional_positions": [[0.1480, 0.9472, 0.2960], [0.4034, 0.4034, 0.8069], [0.0000, 0.7006, 0.0000], [0.8520, 0.6512, 0.7040], [0.5966, 0.5966, 0.1931], [0.7303, 0.7303, 0.4606], [0.1480, 0.3488, 0.2960], [0.0000, 0.2994, 0.0000], [0.5000, 0.0000, 0.0000], [0.8520, 0.0528, 0.7040], [0.2697, 0.2697, 0.5394]], "m_tot_mub_per_cell": 0.0, "ef_ev_per_atom": 0.266, "spacegroup": "No. 71"}



{"formula": "ZnCoS3", "functional": "GGA-PBE", "state": "optimized geometry", "lattice_angstrom": [[-2.1674, 1.6692, 3.5066], [-3.6699, -2.1941, -1.2239], [1.2706, -3.4900, 2.4467]], "species": ["S", "S", "Zn", "Co", "S"], "fractional_positions": [[0.0000, 0.0000, 0.5000], [0.0000, 0.5000, 0.0000], [0.5000, 0.5000, 0.5000], [0.0000, 0.0000, 0.0000], [0.5000, 0.0000, 0.0000]], "m_tot_mub_per_cell": 1.4, "formation_energy_uncorrected_ev_per_atom": 0.410, "spacegroup": "No. 221"}



{"formula": "KUSn2O8", "functional": "GGA-PBE", "state": "optimized geometry", "lattice_angstrom": [[5.1279, 0.0949, -0.0037], [0.1538, 5.1183, -0.0058], [0.0049, 0.0076, 6.8483]], "species": ["O", "K", "O", "O", "O", "O", "Sn", "U", "Sn", "O", "O", "O"], "fractional_positions": [[0.2052, 0.7931, 0.2035], [0.0000, 0.0000, 0.5000], [0.7948, 0.2070, 0.2035], [0.6885, 0.6904, 0.0000], [0.3497, 0.3471, 0.5000], [0.7948, 0.2069, 0.7965], [0.5000, 0.5000, 0.2358], [0.0000, 0.0000, 0.0000], [0.5000, 0.5000, 0.7642], [0.3115, 0.3096, 0.0000], [0.2052, 0.7930, 0.7965], [0.6503, 0.6529, 0.5000]], "m_tot_mub_per_cell": 1.0, "formation_energy_uncorrected_ev_per_atom": -1.899, "spacegroup": "No. 10"}



{"formula": "SrAlCu3Se4", "functional": "GGA-PBE", "state": "optimized geometry", "lattice_angstrom": [[6.0759, 0.0000, 0.0000], [0.0000, 6.0759, 0.0000], [0.0000, 0.0000, 6.0759]], "species": ["Sr", "Cu", "Cu", "Se", "Se", "Se", "Cu", "Al", "Se"], "fractional_positions": [[0.5000, 0.5000, 0.5000], [0.0000, 0.5000, 0.0000], [0.5000, 0.0000, 0.0000], [0.7755, 0.7755, 0.2245], [0.2245, 0.2245, 0.2245], [0.2245, 0.7755, 0.7755], [0.0000, 0.0000, 0.5000], [0.0000, 0.0000, 0.0000], [0.7755, 0.2245, 0.7755]], "m_tot_mub_per_cell": 0.0, "formation_energy_uncorrected_ev_per_atom": -0.624, "spacegroup": "No. 215"}



{"formula": "SrSc2Ni", "functional": "GGA-PBE", "state": "optimized geometry", "lattice_angstrom": [[3.5743, -0.0240, 0.0000], [0.0241, 3.5743, 0.0000], [0.0000, 0.0000, 8.0453]], "species": ["Ni", "Sc", "Sr", "Sc"], "fractional_positions": [[0.5000, 0.5000, 0.8430], [0.5000, 0.5000, 0.1819], [0.0000, 0.0000, 0.5357], [0.0000, 0.0000, 0.9394]], "m_tot_mub_per_cell": 0.3, "ef_ev_per_atom": -0.004, "spacegroup": "No. 99"}



{"formula": "Ba2BiSe", "functional": "GGA-PBE", "state": "optimized geometry", "lattice_angstrom": [[-3.7952, 2.9692, -0.6615], [-2.2489, -1.9951, 3.9474], [6.8916, 10.1293, 5.9273]], "species": ["Ba", "Bi", "Ba", "Se", "Se", "Ba", "Bi", "Ba"], "fractional_positions": [[0.7500, 0.9326, 0.8652], [0.7500, 0.5464, 0.0928], [0.7500, 0.6888, 0.3776], [0.7500, 0.8101, 0.6202], [0.2500, 0.1899, 0.3798], [0.2500, 0.0674, 0.1348], [0.2500, 0.4536, 0.9072], [0.2500, 0.3112, 0.6224]], "m_tot_mub_per_cell": 0.0, "formation_energy_uncorrected_ev_per_atom": -1.361, "spacegroup": "No. 63"}



{"formula": "Sr2CaScSe4", "functional": "GGA-PBE", "state": "optimized geometry", "lattice_angstrom": [[4.2071, 0.0000, 0.0000], [0.0000, 7.3167, 0.1384], [0.0000, -2.5474, 6.9112]], "species": ["Se", "Ca", "Sr", "Sr", "Se", "Se", "Sc", "Se"], "fractional_positions": [[0.5000, 0.7688, 0.7774], [0.5000, 0.5000, 0.0000], [0.5000, 0.0000, 0.5000], [0.0000, 0.5000, 0.5000], [0.0000, 0.7538, 0.2278], [0.0000, 0.2462, 0.7722], [0.0000, 0.0000, 0.0000], [0.5000, 0.2312, 0.2226]], "m_tot_mub_per_cell": 0.0, "formation_energy_uncorrected_ev_per_atom": -1.884, "spacegroup": "No. 10"}



{"formula": "TcBrO3", "functional": "GGA-PBE", "state": "optimized geometry", "lattice_angstrom": [[-1.2319, -2.2095, -2.9727], [0.4319, -3.1971, 2.1973], [-3.6786, 0.3646, 1.2535]], "species": ["O", "O", "Br", "Tc", "O"], "fractional_positions": [[0.0000, 0.0000, 0.5000], [0.5000, 0.0000, 0.0000], [0.5000, 0.5000, 0.5000], [0.0000, 0.0000, 0.0000], [0.0000, 0.5000, 0.0000]], "m_tot_mub_per_cell": 0.0, "formation_energy_uncorrected_ev_per_atom": -0.493, "spacegroup": "No. 221"}



{"formula": "K2TeRu", "functional": "GGA-PBE", "state": "optimized geometry", "lattice_angstrom": [[-2.9365, 2.9155, 1.2429], [-1.5386, -2.7927, 2.9157], [5.2346, 4.2117, 9.9975]], "species": ["Te", "Te", "K", "K", "Ru", "K", "K", "Ru"], "fractional_positions": [[0.7500, 0.2500, 0.5000], [0.0000, 0.0000, 0.0000], [0.6196, 0.1250, 0.2500], [0.1304, 0.6250, 0.2500], [0.2500, 0.7500, 0.5000], [0.8750, 0.8696, 0.7500], [0.3750, 0.3804, 0.7500], [0.5000, 0.5000, 0.0000]], "m_tot_mub_per_cell": 2.6, "formation_energy_uncorrected_ev_per_atom": 0.605, "spacegroup": "No. 122"}



{"formula": "K2CdRe", "functional": "GGA-PBE", "state": "optimized geometry", "lattice_angstrom": [[-1.9628, 2.0425, -0.5671], [0.8994, -0.3844, -4.4979], [-7.0740, -7.0241, -0.8142]], "species": ["K", "Re", "Cd", "K"], "fractional_positions": [[0.5000, 0.5000, 0.3313], [0.0000, 0.0000, 0.5862], [0.5000, 0.5000, 0.6643], [0.0000, 0.0000, 0.9182]], "m_tot_mub_per_cell": 1.1, "ef_ev_per_atom": 0.932, "spacegroup": "No. 25"}